Density functional theory data (PBE) for a geometry-optimized Sr7InN2 structure.

For the total energy, the calculation gives -3.41 eV per atom. As for the spin magnetization: 0.001 μB/f.u. The value obtained for the uncorrected formation energy is -0.29 eV/atom.

It has space group Cmmm (No. 65), with a = 8.9098 Å, b = 19.5955 Å, c = 4.1882 Å, α = 90.00°, β = 90.00° and γ = 90.00°. Symmetry generates all atoms from Sr at (0.0000, 0.0000, 0.0000), Sr at (0.0000, 0.2002, 0.5000), Sr at (0.2139, 0.3787, 0.0000), In at (0.0000, 0.5000, 0.5000) and N at (0.0000, 0.1285, 0.0000).